Record 1
## SrCo2Se (PBE)

Data for a relaxed structure of SrCo2Se.

Results
**Formation energy without anion corrections**: 0.031 eV/atom
**Magnetic moment**: 3.69 μB/f.u.

Geometry as POSCAR:
```
SrCo2Se
1.0
-2.9268 -4.0107 -1.1962
3.8563 -3.2114 0.9480
-2.6627 3.2320 2.9236
Co Se Sr
2 1 1
Cartesian
0.8442 -6.5590 -0.2254
-2.5547 -2.2544 0.7996
0.5363 -4.1672 -0.1432
0.8353 -1.8428 1.8721
```

***

Record 2
## SrCo4Se (PBE)

Data for a relaxed structure of SrCo4Se.

Results
**Formation energy without anion corrections**: 0.291 eV/atom
**Magnetic moment**: 7.08 μB/f.u.

Geometry as POSCAR:
```
SrCo4Se
1.0
-4.6841 -0.3820 2.0315
-4.1126 -0.0921 -3.0482
-2.6834 -4.3257 -0.5487
Sr Co Se
1 4 1
Cartesian
0.0000 0.0000 0.0000
-6.6437 -1.9925 0.4241
-5.6471 -3.9569 -0.8611
-6.3590 -1.8481 -2.1061
-4.3105 -1.8022 -0.5878
-8.6101 -3.5999 -1.1741
```

***

> Which of these has the highest formation energy without anion corrections?

SrCo4Se